A plane-wave DFT calculation with PBE was carried out for LiPm3Ni after structural relaxation.

POSCAR file:
```
LiPm3Ni
1.0
5.428 0.000 0.000
0.000 5.428 0.000
0.000 0.000 5.428
Pm Li Ni
3 1 1
Direct
0.500 0.000 0.000
0.000 0.000 0.500
0.000 0.500 0.000
0.500 0.500 0.500
0.000 0.000 0.000
```

Properties
Its formation energy is 0.064 eV/atom. Its density is 5.20 Mg/m³. The raw total energy is -4.325 eV/atom.